The following is a PBE with a Hubbard U calculation of an optimized crystal structure of RbAcMoF6, from the Alexandria database.

Cell and atoms, written as POSCAR:
```
RbAcMoF6
1.0
6.266 0.000 0.000
-3.133 5.427 0.000
0.000 0.000 11.555
Rb Ac Mo F
2 2 2 12
Cartesian
0.000 0.000 0.000 Rb
0.000 0.000 5.778 Rb
0.000 3.618 2.889 Ac
3.133 1.809 8.666 Ac
3.133 1.809 2.889 Mo
0.000 3.618 8.666 Mo
2.126 3.394 1.698 F
5.009 1.889 1.698 F
-0.869 5.283 7.476 F
-1.876 3.538 9.857 F
1.257 1.889 4.079 F
4.141 3.394 4.079 F
0.869 5.283 9.857 F
4.002 0.144 4.079 F
-1.007 2.033 7.476 F
2.264 0.144 1.698 F
1.876 3.538 7.476 F
1.007 2.033 9.857 F
```

Summary:
- size of the total moment (Bohr magnetons per cell) = 4.3
- VASP energy (eV/atom) = -5.5047
- space group = P-31c